Entry from the Alexandria database: a geometry-optimized Ac2Cu15Pd2 structure (PBE-GGA).

The final energy is -4.364 eV per atom. The value obtained for the density of states at the Fermi level is 7.27 states/eV/cell. The energy relative to the elements is -151.2 meV/atom. The calculation puts the calculated volume at 289.0 Å³/f.u.

Cell and atoms, written as POSCAR:
```
Ac2Cu15Pd2
1.0
4.4246 2.5546 4.2612
-4.4246 2.5546 4.2612
0.0000 -5.1091 4.2612
Ac Cu Pd
2 15 2
Cartesian
0.0000 0.0000 2.0751
0.0000 0.0000 10.7085
-2.2123 -1.2773 4.2612
0.0000 -2.5508 4.1391
-2.2090 1.2754 4.1391
-1.2695 -2.1989 6.3918
-2.5390 0.0000 6.3918
-2.2090 -1.2754 8.6444
-2.2123 1.2773 8.5224
1.2695 -2.1989 6.3918
0.0000 2.5546 4.2612
-1.2695 2.1989 6.3918
2.2090 1.2754 4.1391
2.5391 0.0000 6.3918
1.2695 2.1989 6.3918
2.2090 -1.2754 8.6444
0.0000 2.5508 8.6444
0.0000 0.0000 5.0661
0.0000 0.0000 7.7175
```